(1)
Rb2PmSi2S6: relaxed, PBE.

Lattice parameters (Å, degrees): 7.2229 7.1765 8.0852 117.24 90.00 120.21
Closest atoms and distances in Å follow each position.
Element x y z (fractional)
Rb 0.2836 0.5672 0.7909  9 S 3.43-3.72
Rb 0.7164 0.4328 0.2091  9 S 3.43-3.72
Si 0.0406 0.0812 0.1869  3 S 2.09-2.10
Si 0.9594 0.9188 0.8131  3 S 2.09-2.10
S 0.7608 0.5216 0.6671  1 Si 2.09
S 0.2392 0.4784 0.3329  1 Si 2.09
S 0.2869 0.0871 0.7921  1 Si 2.10
S 0.1998 0.9129 0.2079  1 Si 2.10
S 0.8002 0.0871 0.7921  1 Si 2.10
S 0.7131 0.9129 0.2079  1 Si 2.10
Pm 0.5000 0.0000 0.5000  6 S 2.77-2.82

## Properties
Magnetic moment (μB/atom): 0.066
Total DFT energy (no corrections) (eV per atom): -4.916
D(E_F) (states/eV/f.u.): 2.9
SG: C2/m (12)
E_form (uncorrected) (eV/atom): -1.071
Density (g cm⁻³): 3.1

=====

(2)
CsSbPtI2: relaxed, PBE.

Lattice parameters (Å, degrees): 6.0380 6.0380 5.0988 90.00 90.00 90.00
Closest atoms and distances in Å follow each position.
Element x y z (fractional)
Cs 0.5000 0.5000 0.5000  8 I 3.95, 4 Sb 4.27
Pt 0.0000 0.0000 0.0000  2 Sb 2.55
I 0.5000 0.0000 0.0000  2 Pt 3.02
I 0.0000 0.5000 0.0000  2 Pt 3.02
Sb 0.0000 0.0000 0.5000  2 Pt 2.55

## Properties
Magnetic moment (μB/atom): 0.053
Total DFT energy (no corrections) (eV per atom): -3.203
D(E_F) (states/eV/f.u.): 2.8
SG: P4/mmm (123)
E_form (uncorrected) (eV/atom): -0.379
Energy above the lowest structure with this stoichiometry (meV per atom): 0
Density (g cm⁻³): 6.3

=====

(3)
HgBiSe2: relaxed, PBE.

Lattice parameters (Å, degrees): 9.0450 9.0450 9.0450 27.55 27.55 27.55
Closest atoms and distances in Å follow each position.
Element x y z (fractional)
Se 0.8969 0.8969 0.8969  1 Hg 2.69, 3 Bi 2.99
Se 0.1031 0.1031 0.1031  1 Hg 2.69, 3 Bi 2.99
Bi 0.5000 0.5000 0.5000  6 Se 2.99
Hg 0.0000 0.0000 0.0000  2 Se 2.69

## Properties
Magnetic moment (μB/atom): 0.000
Total DFT energy (no corrections) (eV per atom): -2.944
D(E_F) (states/eV/f.u.): 2.4
SG: R-3m (166)
E_form (uncorrected) (eV/atom): -0.156
Energy above the lowest structure with this stoichiometry (meV per atom): 28
Density (g cm⁻³): 6.7

=====

(4)
Pr4HoIn5: relaxed, PBE.

Lattice parameters (Å, degrees): 3.8547 3.8547 19.5507 90.00 90.00 90.00
Closest atoms and distances in Å follow each position.
Element x y z (fractional)
In 0.5000 0.5000 0.5000  8 Pr 3.38
In 0.5000 0.5000 0.7044  8 Pr 3.38
In 0.5000 0.5000 0.0900  4 Ho 3.24, 4 Pr 3.39, 1 In 3.52
In 0.5000 0.5000 0.2956  8 Pr 3.38
In 0.5000 0.5000 0.9100  4 Ho 3.24, 4 Pr 3.39, 1 In 3.52
Pr 0.0000 0.0000 0.1933  8 In 3.38-3.39, 1 Ho 3.78
Pr 0.0000 0.0000 0.8067  8 In 3.38-3.39, 1 Ho 3.78
Pr 0.0000 0.0000 0.3978  8 In 3.38
Pr 0.0000 0.0000 0.6022  8 In 3.38
Ho 0.0000 0.0000 0.0000  8 In 3.24

## Properties
Energy of formation (kJ/mol of atoms): -47.1
Magnetic moment (μB/atom): 0.000
Total DFT energy (no corrections) (eV per atom): -4.227
D(E_F) (states/eV/f.u.): 5.6
SG: P4/mmm (123)
Density (g cm⁻³): 7.4

=====

total DFT energy (no corrections) of number 4 (Pr4HoIn5)?
-4.227 eV per atom

=====

The lowest total DFT energy (no corrections) belongs to which entry?
Rb2PmSi2S6

=====

Number 1 is which compound?
Rb2PmSi2S6

=====

What is the magnetic moment in the first record?
0.066 μB/atom